(1)
A relaxed structure of BeHgAs, computed with PBE.

Computed properties:
* symmetry: Fmm2
* offset from the most stable computed form: 0.333 eV/atom
* E_tot: -0.092 hartree per atom
* energy relative to the elements: 0.38 eV/atom
* crystal system: orthorhombic

Structure (extended XYZ):
```
3
Lattice="6.758 -0.053 0.044 5.881 2.914 0.015 0.877 -0.586 2.909" Properties=species:S:1:pos:R:3 pbc="T T T"
Be 5.071 0.643 1.893
As 12.094 2.701 0.191
Hg 8.991 1.792 0.943
```


(2)
A relaxed structure of ErAsSe, computed with PBE.

Computed properties:
* symmetry: Pnma
* E_tot: -0.207 hartree per atom
* energy relative to the elements, uncorrected: -1.39 eV/atom
* crystal system: orthorhombic

Structure (extended XYZ):
```
12
Lattice="3.863 0.000 0.000 0.000 7.203 0.000 0.000 0.000 9.563" Properties=species:S:1:pos:R:3 pbc="T T T"
As 2.898 2.860 5.171
As 0.966 0.741 0.390
As 2.898 6.462 9.173
As 0.966 4.342 4.392
Se 0.966 0.615 6.248
Se 2.898 2.986 1.467
Se 0.966 4.216 8.096
Se 2.898 6.588 3.315
Er 0.966 5.165 1.534
Er 2.898 2.038 8.029
Er 0.966 1.564 3.247
Er 2.898 5.639 6.316
```


(3)
A relaxed structure of MgTiRhW2, computed with PBE.

Computed properties:
* symmetry: P4/mmm
* E_tot: -0.268 hartree per atom
* energy relative to the elements: 1.27 eV/atom
* crystal system: tetragonal

Structure (extended XYZ):
```
5
Lattice="-2.632 0.733 3.916 -2.561 -3.753 -1.020 2.995 -2.730 2.524" Properties=species:S:1:pos:R:3 pbc="T T T"
Mg -1.099 -2.875 2.710
Rh 0.000 0.000 0.000
W 1.498 -1.365 1.262
W -1.316 0.366 1.958
Ti -1.281 -1.876 -0.510
```


(4)
A relaxed structure of ScSnCl2, computed with PBE.

Computed properties:
* symmetry: Fm-3m
* offset from the most stable computed form: 0.713 eV/atom
* E_tot: -0.148 hartree per atom
* energy relative to the elements, uncorrected: -0.51 eV/atom
* crystal system: cubic

Structure (extended XYZ):
```
4
Lattice="3.710 -3.217 0.913 -0.917 -4.223 2.504 0.138 -4.392 -2.375" Properties=species:S:1:pos:R:3 pbc="T T T"
Sc 0.000 0.000 0.000
Sn 1.466 -5.916 0.522
Cl 0.733 -2.958 0.261
Cl 2.199 -8.874 0.782
```


(5)
A relaxed structure of AlCoSb2Te, computed with PBE.

Computed properties:
* symmetry: P4/mmm
* offset from the most stable computed form: 0.600 eV/atom
* E_tot: -0.126 hartree per atom
* energy relative to the elements, uncorrected: 1.01 eV/atom
* crystal system: tetragonal

Structure (extended XYZ):
```
5
Lattice="-0.480 -3.761 -3.580 4.219 1.813 -2.470 3.088 -3.188 2.935" Properties=species:S:1:pos:R:3 pbc="T T T"
Sb 2.110 0.906 -1.235
Sb -0.240 -1.880 -1.790
Te 1.544 -1.594 1.467
Co 3.414 -2.568 -1.558
Al 0.000 0.000 0.000
```


(6)
A relaxed structure of TbHoTmCu, computed with PBE.

Computed properties:
* symmetry: P4mm
* E_tot: -0.167 hartree per atom
* energy relative to the elements: -0.11 eV/atom
* crystal system: tetragonal

Structure (extended XYZ):
```
4
Lattice="3.458 0.000 0.000 0.000 3.458 0.000 0.000 0.000 8.656" Properties=species:S:1:pos:R:3 pbc="T T T"
Tb 0.000 0.000 0.636
Ho 1.729 1.729 6.655
Tm 1.729 1.729 3.251
Cu 0.000 0.000 4.907
```


(7)
A relaxed structure of Be2TlAg, computed with PBE.

Computed properties:
* symmetry: P2/m
* offset from the most stable computed form: 0.171 eV/atom
* E_tot: -0.096 hartree per atom
* energy relative to the elements: 0.56 eV/atom
* crystal system: monoclinic

Structure (extended XYZ):
```
4
Lattice="-3.745 0.079 -1.714 -1.232 -0.808 2.655 -0.252 5.232 0.791" Properties=species:S:1:pos:R:3 pbc="T T T"
Be -0.343 4.820 0.971
Be -0.651 2.623 1.543
Tl -2.244 1.145 0.004
Ag -2.986 3.357 1.727
```


(8)
A relaxed structure of KIn2SnS6, computed with PBE.

Computed properties:
* symmetry: C2/c
* E_tot: -0.148 hartree per atom
* energy relative to the elements, uncorrected: -0.48 eV/atom
* crystal system: monoclinic

Structure (extended XYZ):
```
20
Lattice="-2.861 -7.518 0.874 -0.286 -4.585 -8.272 6.865 -6.072 2.356" Properties=species:S:1:pos:R:3 pbc="T T T"
K 0.171 -6.708 -6.311
K 3.546 -11.467 1.268
In 2.776 -10.293 -4.487
In 1.294 -3.899 -2.596
In 0.942 -7.882 -0.556
In 2.423 -14.276 -2.447
Sn 4.995 -7.711 0.859
Sn -1.278 -10.464 -5.902
S 4.958 -10.647 -5.624
S -0.540 -3.617 -0.941
S -1.241 -7.528 0.580
S 4.257 -14.558 -4.102
S 0.999 -9.707 -6.119
S 0.411 -3.932 -4.916
S 2.718 -8.468 1.076
S 3.306 -14.243 -0.128
S 3.146 -7.734 -4.064
S 1.211 -6.517 -2.592
S 0.571 -10.441 -0.980
S 2.506 -11.658 -2.452
```


(9)
A relaxed structure of Ac2TaWN5, computed with PBE.

Computed properties:
* symmetry: Cmc2_1
* E_tot: -0.340 hartree per atom
* energy relative to the elements, uncorrected: -0.97 eV/atom
* crystal system: orthorhombic

Structure (extended XYZ):
```
18
Lattice="3.465 0.000 0.000 -1.732 6.905 0.000 0.000 0.000 11.259" Properties=species:S:1:pos:R:3 pbc="T T T"
Ac 1.732 4.837 9.028
Ac 0.000 1.441 7.657
Ac 0.000 2.067 3.398
Ac 1.732 5.463 2.028
Ta 1.732 3.897 5.832
Ta 0.000 3.008 0.202
W 1.732 0.482 10.770
W 0.000 6.422 5.141
N 0.000 4.983 11.233
N 1.732 2.448 10.104
N 0.000 6.804 8.965
N 0.000 3.906 7.194
N 1.732 6.213 6.047
N 1.732 1.922 5.603
N 0.000 4.456 4.474
N 1.732 0.100 3.336
N 1.732 2.998 1.564
N 0.000 0.692 0.418
```


(10)
A relaxed structure of Ta3Be2Os5, computed with PBE.

Computed properties:
* symmetry: P4/mbm
* E_tot: -0.378 hartree per atom
* energy relative to the elements: -0.36 eV/atom
* crystal system: tetragonal

Structure (extended XYZ):
```
20
Lattice="-1.882 -2.135 1.381 5.201 0.511 7.875 -5.538 6.956 3.206" Properties=species:S:1:pos:R:3 pbc="T T T"
Ta -2.879 5.907 5.208
Ta 2.542 1.560 5.874
Ta -0.893 2.352 2.419
Ta 0.555 5.115 8.663
Ta 0.000 0.000 0.000
Ta -0.169 3.733 5.541
Be -2.810 4.381 2.944
Be 2.473 3.085 8.138
Be 1.301 1.035 3.373
Be -1.638 6.431 7.709
Os -0.241 -0.451 2.597
Os -1.978 5.783 9.866
Os 2.705 0.883 8.672
Os -4.923 4.449 3.791
Os -2.618 3.065 4.793
Os 0.399 2.267 7.670
Os -1.906 4.180 7.487
Os -0.313 1.152 4.976
Os -3.710 2.410 2.294
Os 1.660 -0.812 4.628
```


(11)
A relaxed structure of CdNiAu2, computed with PBE.

Computed properties:
* symmetry: R-3m
* E_tot: -0.120 hartree per atom
* energy relative to the elements: 0.06 eV/atom
* crystal system: trigonal

Structure (extended XYZ):
```
4
Lattice="9.338 0.023 0.013 8.870 2.919 0.013 8.870 1.433 2.543" Properties=species:S:1:pos:R:3 pbc="T T T"
Au 0.218 0.035 0.021
Au 13.321 2.152 1.264
Cd 6.770 1.094 0.642
Ni 20.309 3.281 1.927
```


(12)
A relaxed structure of PmSn2Pd7Au2, computed with PBE.

Computed properties:
* symmetry: C2/m
* E_tot: -0.186 hartree per atom
* energy relative to the elements: -0.43 eV/atom
* crystal system: monoclinic

Structure (extended XYZ):
```
12
Lattice="-0.747 3.927 -1.129 -2.294 -1.264 -3.224 -13.485 2.805 3.007" Properties=species:S:1:pos:R:3 pbc="T T T"
Pm 0.000 0.000 0.000
Sn -6.411 2.710 -1.983
Sn -10.115 2.757 0.637
Pd -1.520 1.331 -2.177
Pd -7.506 2.074 0.402
Pd -9.020 3.393 -1.748
Pd -3.627 3.314 -1.514
Pd -4.399 0.721 -2.560
Pd -12.126 4.746 1.214
Pd -12.899 2.153 0.168
Au -11.677 4.093 -1.520
Au -4.848 1.374 0.174
```